No. 1
YPuTlAu: optimized geometry, GGA-PBE.

* VASP energy: -6.95 eV per atom
* crystal system: cubic

Lattice parameters (Å, degrees): 7.463 7.463 7.463 90.00 90.00 90.00
Space group F-43m (No. 216)
Symmetry-distinct sites (fractional):
1 Y 0.000 0.000 0.000 [4 per cell]
2 Pu 0.000 0.000 0.500 [4 per cell]
3 Tl 0.250 0.250 0.750 [4 per cell]
4 Au 0.250 0.250 0.250 [4 per cell]

=====

No. 2
ZnGa2Pt2: optimized geometry, GGA-PBE.

* crystal system: tetragonal
* excess energy over the best structure of this formula in the dataset: 8.62 kJ/mol of atoms

Lattice parameters (Å, degrees): 7.063 7.063 3.228 90.00 90.00 90.00
Space group P4/mbm (No. 127)
Symmetry-distinct sites (fractional):
1 Zn 0.000 0.000 0.000 [2 per cell]
2 Ga 0.148 0.352 0.500 [4 per cell]
3 Pt 0.152 0.652 0.000 [4 per cell]

=====

No. 3
NbVTe3: optimized geometry, GGA-PBE.

* energy relative to the elements, uncorrected: -88 kJ/mol of formula units
* crystal system: orthorhombic
* excess energy over the best structure of this formula in the dataset: 0.00 kJ/mol of atoms

Lattice parameters (Å, degrees): 3.361 12.846 7.101 90.00 90.00 90.00
Space group Amm2 (No. 38)
Symmetry-distinct sites (fractional):
1 Nb 0.000 0.000 0.000 [2 per cell]
2 V 0.500 0.000 0.301 [2 per cell]
3 Te 0.000 0.162 0.250 [4 per cell]
4 Te 0.500 0.000 0.688 [2 per cell]

=====

No. 4
CoW: optimized geometry, GGA-PBE.

* VASP energy: -9.88 eV per atom
* crystal system: orthorhombic

Lattice parameters (Å, degrees): 2.662 13.290 4.525 90.00 90.00 90.00
Space group Amm2 (No. 38)
Symmetry-distinct sites (fractional):
1 Co 0.000 0.000 0.000 [2 per cell]
2 Co 0.500 0.148 0.169 [4 per cell]
3 W 0.000 0.182 0.690 [4 per cell]
4 W 0.500 0.000 0.504 [2 per cell]

=====

No. 5
Pt2RhCl: optimized geometry, GGA-PBE.

* energy relative to the elements, uncorrected: 271 kJ/mol of formula units
* crystal system: tetragonal
* excess energy over the best structure of this formula in the dataset: 48.52 kJ/mol of atoms

Lattice parameters (Å, degrees): 3.931 3.931 8.388 90.00 90.00 90.00
Space group I4/mmm (No. 139)
Symmetry-distinct sites (fractional):
1 Pt 0.000 0.500 0.250 [4 per cell]
2 Rh 0.000 0.000 0.000 [2 per cell]
3 Cl 0.000 0.000 0.500 [2 per cell]

=====

No. 6
WSeS2N: optimized geometry, GGA-PBE.

* energy relative to the elements, uncorrected: 195 kJ/mol of formula units
* crystal system: tetragonal
* excess energy over the best structure of this formula in the dataset: 0.00 kJ/mol of atoms

Lattice parameters (Å, degrees): 4.811 4.811 3.827 90.00 90.00 90.00
Space group P4/mmm (No. 123)
Symmetry-distinct sites (fractional):
1 W 0.000 0.000 0.000 [1 per cell]
2 Se 0.500 0.500 0.500 [1 per cell]
3 S 0.000 0.500 0.000 [2 per cell]
4 N 0.000 0.000 0.500 [1 per cell]